Entry 1:
DFT (PBE) results for crystalline K4ErTm3Se8 at its relaxed geometry.

Summary:
The formation energy without anion corrections comes out at -40.4 kcal/mol of atoms.

Cell and atoms, written as CIF:
```
data_K4ErTm3Se8
_symmetry_space_group_name_H-M 'R -3 m'
_symmetry_Int_Tables_number 166
_symmetry_space_group_name_Hall '-R 3 2"'
_cell_length_a 8.3349
_cell_length_b 8.3349
_cell_length_c 23.0195
_cell_angle_alpha 90.00
_cell_angle_beta 90.00
_cell_angle_gamma 120.00
loop_
_atom_site_label
_atom_site_type_symbol
_atom_site_fract_x
_atom_site_fract_y
_atom_site_fract_z
K1 K 0.0000 0.0000 0.0000
K2 K 0.0000 0.5000 0.0000
Er1 Er 0.0000 0.0000 0.5000
Tm1 Tm 0.0000 0.5000 0.5000
Se1 Se 0.0000 0.0000 0.2342
Se2 Se 0.0009 0.5005 0.7657
```


Entry 2:
DFT (PBE) results for crystalline Tb4InHgC at its relaxed geometry.

Summary:
The value obtained for the uncorrected energy is -4.75 eV/atom.

Cell and atoms, written as CIF:
```
data_Tb4InHgC
_symmetry_space_group_name_H-M 'C m c m'
_symmetry_Int_Tables_number 63
_symmetry_space_group_name_Hall '-C 2c 2'
_cell_length_a 7.015
_cell_length_b 15.039
_cell_length_c 7.017
_cell_angle_alpha 90.00
_cell_angle_beta 90.00
_cell_angle_gamma 90.00
loop_
_atom_site_label
_atom_site_type_symbol
_atom_site_fract_x
_atom_site_fract_y
_atom_site_fract_z
Tb1 Tb 0.000 0.083 0.250
Tb2 Tb 0.000 0.413 0.250
Tb3 Tb 0.250 0.250 0.000
In1 In 0.000 0.381 0.750
Hg1 Hg 0.000 0.120 0.750
C1 C 0.000 0.249 0.250
```


Entry 3:
DFT (PBE) results for crystalline MnNiH2 at its relaxed geometry.

Summary:
The value obtained for the uncorrected energy is -5.35 eV/atom.

Cell and atoms, written as CIF:
```
data_MnNiH2
_symmetry_space_group_name_H-M 'R 3 m'
_symmetry_Int_Tables_number 160
_symmetry_space_group_name_Hall 'R 3 -2"'
_cell_length_a 2.5845
_cell_length_b 2.5845
_cell_length_c 14.1078
_cell_angle_alpha 90.00
_cell_angle_beta 90.00
_cell_angle_gamma 120.00
loop_
_atom_site_label
_atom_site_type_symbol
_atom_site_fract_x
_atom_site_fract_y
_atom_site_fract_z
Mn1 Mn 0.0000 0.0000 0.0000
Ni1 Ni 0.0000 0.0000 0.8235
H1 H 0.0000 0.0000 0.4098
H2 H 0.0000 0.0000 0.5888
```


Entry 4:
DFT (PBE) results for crystalline Np2Te2As at its relaxed geometry.

Summary:
The formation energy without anion corrections comes out at -13.2 kcal/mol of atoms.

Cell and atoms, written as CIF:
```
data_Np2Te2As
_symmetry_space_group_name_H-M 'C 1 2/m 1'
_symmetry_Int_Tables_number 12
_cell_length_a 7.300
_cell_length_b 4.216
_cell_length_c 10.722
_cell_angle_alpha 90.00
_cell_angle_beta 103.73
_cell_angle_gamma 90.00
loop_
_symmetry_equiv_pos_as_xyz
'x,y,z'
'-x,-y,-z'
'-x,y,-z'
'x,-y,z'
'x+1/2,y+1/2,z'
'-x+1/2,-y+1/2,-z'
'-x+1/2,y+1/2,-z'
'x+1/2,-y+1/2,z'
loop_
_atom_site_label
_atom_site_type_symbol
_atom_site_fract_x
_atom_site_fract_y
_atom_site_fract_z
Np1 Np 0.112 0.000 0.342
Te1 Te 0.218 0.500 0.169
As1 As 0.000 0.500 0.500
```


Entry 5:
DFT (PBE) results for crystalline Cs2KBrCl6 at its relaxed geometry.

Summary:
The formation energy without anion corrections comes out at -24.2 kcal/mol of atoms.

Cell and atoms, written as CIF:
```
data_Cs2KBrCl6
_symmetry_space_group_name_H-M 'I 4/m m m'
_symmetry_Int_Tables_number 139
_symmetry_space_group_name_Hall '-I 4 2'
_cell_length_a 8.331
_cell_length_b 8.331
_cell_length_c 10.761
_cell_angle_alpha 90.00
_cell_angle_beta 90.00
_cell_angle_gamma 90.00
loop_
_atom_site_label
_atom_site_type_symbol
_atom_site_fract_x
_atom_site_fract_y
_atom_site_fract_z
Cs1 Cs 0.000 0.500 0.250
K1 K 0.000 0.000 0.000
Br1 Br 0.000 0.000 0.500
Cl1 Cl 0.000 0.000 0.282
Cl2 Cl 0.246 0.246 0.500
```


Entry 6:
DFT (PBE) results for crystalline VSe2Br at its relaxed geometry.

Summary:
The formation energy without anion corrections comes out at -3.9 kcal/mol of atoms. The energy above the most stable polymorph in this dataset comes out at 0.253 eV per atom.

Cell and atoms, written as CIF:
```
data_VSe2Br
_symmetry_space_group_name_H-M 'I -4 2 d'
_symmetry_Int_Tables_number 122
_symmetry_space_group_name_Hall 'I -4 2bw'
_cell_length_a 6.688
_cell_length_b 6.688
_cell_length_c 10.228
_cell_angle_alpha 90.00
_cell_angle_beta 90.00
_cell_angle_gamma 90.00
loop_
_atom_site_label
_atom_site_type_symbol
_atom_site_fract_x
_atom_site_fract_y
_atom_site_fract_z
V1 V 0.000 0.000 0.000
Se1 Se 0.147 0.250 0.125
Br1 Br 0.000 0.000 0.500
```


Entry 7:
DFT (PBE) results for crystalline Pm4Al3Ag at its relaxed geometry.

Summary:
The energy above the most stable polymorph in this dataset comes out at 0.026 eV per atom.

Cell and atoms, written as CIF:
```
data_Pm4Al3Ag
_symmetry_space_group_name_H-M 'P m m 2'
_symmetry_Int_Tables_number 25
_cell_length_a 3.720
_cell_length_b 4.634
_cell_length_c 12.121
_cell_angle_alpha 90.00
_cell_angle_beta 90.00
_cell_angle_gamma 90.00
loop_
_symmetry_equiv_pos_as_xyz
'x,y,z'
'-x,-y,z'
'-x,y,z'
'x,-y,z'
loop_
_atom_site_label
_atom_site_type_symbol
_atom_site_fract_x
_atom_site_fract_y
_atom_site_fract_z
Pm1 Pm 0.000 0.000 0.000
Pm2 Pm 0.000 0.500 0.306
Pm3 Pm 0.500 0.000 0.500
Pm4 Pm 0.500 0.500 0.809
Al1 Al 0.000 0.000 0.719
Al2 Al 0.000 0.500 0.589
Al3 Al 0.500 0.500 0.087
Ag1 Ag 0.500 0.000 0.219
```


Entry 8:
DFT (PBE) results for crystalline Zr3Br at its relaxed geometry.

Summary:
The formation energy without anion corrections comes out at 1.0 kcal/mol of atoms. The energy above the most stable polymorph in this dataset comes out at 0.296 eV per atom.

Cell and atoms, written as CIF:
```
data_Zr3Br
_symmetry_space_group_name_H-M 'C m m m'
_symmetry_Int_Tables_number 65
_symmetry_space_group_name_Hall '-C 2 2'
_cell_length_a 6.268
_cell_length_b 8.639
_cell_length_c 3.288
_cell_angle_alpha 90.00
_cell_angle_beta 90.00
_cell_angle_gamma 90.00
loop_
_atom_site_label
_atom_site_type_symbol
_atom_site_fract_x
_atom_site_fract_y
_atom_site_fract_z
Zr1 Zr 0.000 0.000 0.000
Zr2 Zr 0.250 0.250 0.500
Br1 Br 0.000 0.500 0.000
```